# 1
# PBE CsK2OsSe, relaxed
# size of the total moment = 3.00 μB/f.u.
# density = 2.98 g/cm3
# DOS at the Fermi energy = 4.78 states/eV/f.u.
# formation energy (no corrections) = 668 meV per atom
data_CsK2OsSe
_chemical_formula_sum 'Cs1 K2 Os1 Se1'
_cell_length_a 6.205
_cell_length_b 6.205
_cell_length_c 6.950
_cell_angle_alpha 90.00
_cell_angle_beta 90.00
_cell_angle_gamma 90.00
_space_group_name_H-M_alt 'P 4/m m m'
_space_group_IT_number 123
_space_group_name_Hall '-P 4 2'
loop_
_atom_site_label
_atom_site_type_symbol
_atom_site_fract_x
_atom_site_fract_y
_atom_site_fract_z
Cs1 Cs 0.000 0.000 0.000
K1 K 0.000 0.500 0.500
Os1 Os 0.500 0.500 0.000
Se1 Se 0.000 0.000 0.500


# 2
# PBE ZnTe2As, relaxed
# size of the total moment = 0.00 μB/f.u.
# density = 5.71 g/cm3
# DOS at the Fermi energy = 2.62 states/eV/f.u.
# excess energy over the best structure of this formula in the dataset = 76 meV per atom
# formation energy (no corrections) = 13 meV per atom
data_ZnTe2As
_chemical_formula_sum 'Zn2 Te4 As2'
_cell_length_a 13.552
_cell_length_b 4.149
_cell_length_c 4.149
_cell_angle_alpha 90.00
_cell_angle_beta 99.70
_cell_angle_gamma 90.00
_space_group_name_H-M_alt 'C 1 m 1'
_space_group_IT_number 8
loop_
_space_group_symop_operation_xyz
'x,y,z'
'x,-y,z'
'x+1/2,y+1/2,z'
'x+1/2,-y+1/2,z'
loop_
_atom_site_label
_atom_site_type_symbol
_atom_site_fract_x
_atom_site_fract_y
_atom_site_fract_z
Zn1 Zn 0.000 0.000 0.000
Te1 Te 0.024 0.500 0.525
Te2 Te 0.294 0.500 0.887
As1 As 0.324 0.000 0.401


# 3
# PBE ZrRe2H, relaxed
# size of the total moment = 0.00 μB/f.u.
# density = 12.88 g/cm3
# DOS at the Fermi energy = 5.94 states/eV/f.u.
# excess energy over the best structure of this formula in the dataset = 1068 meV per atom
data_ZrRe2H
_chemical_formula_sum 'Zr4 Re8 H4'
_cell_length_a 6.211
_cell_length_b 6.211
_cell_length_c 6.211
_cell_angle_alpha 90.00
_cell_angle_beta 90.00
_cell_angle_gamma 90.00
_space_group_name_H-M_alt 'F m -3 m'
_space_group_IT_number 225
_space_group_name_Hall '-F 4 2 3'
loop_
_atom_site_label
_atom_site_type_symbol
_atom_site_fract_x
_atom_site_fract_y
_atom_site_fract_z
Zr1 Zr 0.000 0.000 0.000
Re1 Re 0.250 0.250 0.250
H1 H 0.000 0.000 0.500


# 4
# PBE LaDy6Ho3Sc2, relaxed
# size of the total moment = 0.00 μB/f.u.
# density = 7.69 g/cm3
# DOS at the Fermi energy = 17.02 states/eV/f.u.
# energy of formation = 0.040 eV per atom
data_LaDy6Ho3Sc2
_chemical_formula_sum 'La2 Dy12 Ho6 Sc4'
_cell_length_a 6.075
_cell_length_b 10.517
_cell_length_c 11.650
_cell_angle_alpha 90.00
_cell_angle_beta 99.96
_cell_angle_gamma 90.00
_space_group_name_H-M_alt 'C 1 2/m 1'
_space_group_IT_number 12
loop_
_space_group_symop_operation_xyz
'x,y,z'
'-x,-y,-z'
'-x,y,-z'
'x,-y,z'
'x+1/2,y+1/2,z'
'-x+1/2,-y+1/2,-z'
'-x+1/2,y+1/2,-z'
'x+1/2,-y+1/2,z'
loop_
_atom_site_label
_atom_site_type_symbol
_atom_site_fract_x
_atom_site_fract_y
_atom_site_fract_z
La1 La 0.000 0.000 0.000
Dy1 Dy 0.247 0.500 0.249
Dy2 Dy 0.248 0.332 0.751
Ho1 Ho 0.000 0.167 0.500
Ho2 Ho 0.000 0.500 0.500
Sc1 Sc 0.000 0.333 0.000


# 5
# PBE Na3SeF7, relaxed
# size of the total moment = 0.06 μB/f.u.
# density = 2.98 g/cm3
# DOS at the Fermi energy = 0.00 states/eV/f.u.
# formation energy (no corrections) = -2272 meV per atom
data_Na3SeF7
_chemical_formula_sum 'Na6 Se2 F14'
_cell_length_a 7.986
_cell_length_b 7.614
_cell_length_c 6.114
_cell_angle_alpha 90.00
_cell_angle_beta 122.78
_cell_angle_gamma 90.00
_space_group_name_H-M_alt 'C 1 m 1'
_space_group_IT_number 8
loop_
_space_group_symop_operation_xyz
'x,y,z'
'x,-y,z'
'x+1/2,y+1/2,z'
'x+1/2,-y+1/2,z'
loop_
_atom_site_label
_atom_site_type_symbol
_atom_site_fract_x
_atom_site_fract_y
_atom_site_fract_z
Na1 Na 0.000 0.000 0.000
Na2 Na 0.492 0.239 0.524
Se1 Se 0.025 0.500 0.058
F1 F 0.128 0.258 0.262
F2 F 0.158 0.500 0.853
F3 F 0.355 0.160 0.811
F4 F 0.363 0.000 0.197
F5 F 0.440 0.500 0.607


# 6
# PBE Na3Bi5Cl12, relaxed
# size of the total moment = 6.00 μB/f.u.
# density = 3.47 g/cm3
# DOS at the Fermi energy = 13.74 states/eV/f.u.
# formation energy (no corrections) = -818 meV per atom
data_Na3Bi5Cl12
_chemical_formula_sum 'Na24 Bi40 Cl96'
_cell_length_a 18.061
_cell_length_b 18.061
_cell_length_c 18.061
_cell_angle_alpha 90.00
_cell_angle_beta 90.00
_cell_angle_gamma 90.00
_space_group_name_H-M_alt 'I a -3 d'
_space_group_IT_number 230
_space_group_name_Hall '-I 4bd 2c 3'
loop_
_atom_site_label
_atom_site_type_symbol
_atom_site_fract_x
_atom_site_fract_y
_atom_site_fract_z
Na1 Na 0.000 0.250 0.125
Bi1 Bi 0.000 0.000 0.000
Bi2 Bi 0.000 0.250 0.375
Cl1 Cl 0.007 0.152 0.513


Q: Among the records above, which one has the lowest DOS at the Fermi energy?
A: Na3SeF7


Q: What is the formula in the fifth record?
A: Na3SeF7


Q: Which value of DOS at the Fermi energy does entry 4 give?
A: 17.02 states/eV/f.u.


Q: Which of these has the lowest DOS at the Fermi energy?
A: Na3SeF7